Crystalline La2PmPrNd5 at its relaxed geometry, computed with PBE.

density of states at the Fermi level	14.79	states/eV/f.u.
formation energy	22.0	kJ/mol of atoms

Lattice parameters (Å, degrees): 8.832 8.832 16.450 90.00 90.00 90.00
Space group I4/mcm (No. 140)
Asymmetric unit:
La  0.120  0.380  0.000
Pm  0.000  0.000  0.250
Pr  0.000  0.500  0.250
Nd  0.000  0.000  0.000
Nd  0.213  0.287  0.358

***

Crystalline CsBaZr2Sn at its relaxed geometry, computed with PBE.

density of states at the Fermi level	6.35	states/eV/f.u.
formation energy	138.5	kJ/mol of atoms

Lattice parameters (Å, degrees): 5.410 5.410 6.323 90.00 90.00 90.00
Space group P4/mmm (No. 123)
Asymmetric unit:
Cs  0.000  0.000  0.000
Ba  0.500  0.500  0.500
Zr  0.000  0.500  0.000
Sn  0.000  0.000  0.500

***

Crystalline YTeCl2 at its relaxed geometry, computed with PBE.

density of states at the Fermi level	1.59	states/eV/f.u.
energy above the lowest structure with this stoichiometry	0	meV/atom

Lattice parameters (Å, degrees): 14.193 3.449 7.529 90.00 118.95 90.00
Space group Cm (No. 8)
Asymmetric unit:
Y  0.000  0.000  0.000
Te  0.322  0.000  0.648
Cl  0.140  0.500  0.001
Cl  0.488  0.000  0.252

***

Crystalline LiCaSb2 at its relaxed geometry, computed with PBE.

density of states at the Fermi level	1.12	states/eV/f.u.
energy above the lowest structure with this stoichiometry	14	meV/atom

Lattice parameters (Å, degrees): 4.789 4.842 8.837 90.00 90.00 90.00
Space group Immm (No. 71)
Asymmetric unit:
Li  0.000  0.000  0.000
Ca  0.000  0.000  0.500
Sb  0.000  0.500  0.250

***

Crystalline KNa13 at its relaxed geometry, computed with PBE.

density of states at the Fermi level	9.31	states/eV/f.u.
formation energy	4.3	kJ/mol of atoms

Lattice parameters (Å, degrees): 16.715 16.715 16.715 90.00 90.00 90.00
Space group Fm-3c (No. 226)
Asymmetric unit:
K  0.250  0.250  0.250
Na  0.000  0.000  0.000
Na  0.000  0.119  0.181

***

Crystalline PmSIO4 at its relaxed geometry, computed with PBE.

density of states at the Fermi level	0.00	states/eV/f.u.
total DFT energy (no corrections)	-6.2240	eV per atom

Lattice parameters (Å, degrees): 10.551 7.025 6.788 90.00 102.65 90.00
Space group C2/m (No. 12)
Asymmetric unit:
Pm  0.249  0.000  0.343
S  0.133  0.000  0.757
I  0.032  0.500  0.256
O  0.008  0.000  0.272
O  0.179  0.168  0.648
O  0.197  0.000  0.973

***

Crystalline Tb7Er3Tl at its relaxed geometry, computed with PBE.

density of states at the Fermi level	15.98	states/eV/f.u.
formation energy	14.3	kJ/mol of atoms

Lattice parameters (Å, degrees): 6.9590 6.9590 8.4899 90.00 90.00 120.00
Space group P3m1 (No. 156)
Asymmetric unit:
Tb  0.0000  0.0000  0.0000
Tb  0.1635  0.3270  0.3368
Tb  0.5014  0.0028  0.0096
Er  0.3310  0.1655  0.6726
Tl  0.6667  0.3333  0.3433

***

Crystalline Hf8SbP2 at its relaxed geometry, computed with PBE.

density of states at the Fermi level	7.95	states/eV/f.u.
total DFT energy (no corrections)	-9.1078	eV per atom

Lattice parameters (Å, degrees): 7.921 11.673 5.059 90.00 104.95 90.00
Space group C2/m (No. 12)
Asymmetric unit:
Hf  0.000  0.249  0.000
Hf  0.109  0.000  0.812
Hf  0.204  0.374  0.599
Sb  0.000  0.500  0.000
P  0.000  0.187  0.500

***

Crystalline Sc6P2AuSe3 at its relaxed geometry, computed with PBE.

density of states at the Fermi level	5.66	states/eV/f.u.
total DFT energy (no corrections)	-6.6575	eV per atom

Lattice parameters (Å, degrees): 16.786 3.804 7.803 90.00 103.22 90.00
Space group C2/m (No. 12)
Asymmetric unit:
Sc  0.007  0.000  0.259
Sc  0.171  0.500  0.105
Sc  0.173  0.500  0.572
P  0.167  0.000  0.336
Au  0.000  0.500  0.000
Se  0.000  0.500  0.500
Se  0.165  0.000  0.834

***

Crystalline Te3Cl at its relaxed geometry, computed with PBE.

density of states at the Fermi level	3.04	states/eV/f.u.
energy above the lowest structure with this stoichiometry	274	meV/atom

Lattice parameters (Å, degrees): 10.4175 10.4175 3.3913 90.00 90.00 120.00
Space group R-3m (No. 166, hexagonal axes)
Asymmetric unit:
Te  0.0000  0.5000  0.0000
Cl  0.0000  0.0000  0.0000

***

Crystalline Sm2Tm6Hg at its relaxed geometry, computed with PBE.

density of states at the Fermi level	13.82	states/eV/f.u.
formation energy	-0.7	kJ/mol of atoms

Lattice parameters (Å, degrees): 9.666 10.183 5.408 90.00 90.00 90.00
Space group Pnnm (No. 58)
Asymmetric unit:
Sm  0.191  0.246  0.000
Tm  0.019  0.322  0.500
Tm  0.138  0.896  0.000
Tm  0.180  0.571  0.000
Hg  0.000  0.000  0.500

***

Crystalline KZrHg2 at its relaxed geometry, computed with PBE.

density of states at the Fermi level	4.04	states/eV/f.u.
energy above the lowest structure with this stoichiometry	298	meV/atom
formation energy	24.5	kJ/mol of atoms

Lattice parameters (Å, degrees): 7.462 7.462 7.462 90.00 90.00 90.00
Space group Fm-3m (No. 225)
Asymmetric unit:
K  0.000  0.000  0.000
Zr  0.000  0.000  0.500
Hg  0.250  0.250  0.250

***

Crystalline TcAs2Ir at its relaxed geometry, computed with PBE.

density of states at the Fermi level	2.83	states/eV/f.u.
energy above the lowest structure with this stoichiometry	11	meV/atom
formation energy	-2.6	kJ/mol of atoms

Lattice parameters (Å, degrees): 2.923 2.923 8.015 90.00 90.00 90.00
Space group P4mm (No. 99)
Asymmetric unit:
Tc  0.000  0.000  0.000
As  0.000  0.000  0.561
As  0.500  0.500  0.195
Ir  0.500  0.500  0.762

***

Crystalline Ac7Nd2Ho at its relaxed geometry, computed with PBE.

density of states at the Fermi level	14.88	states/eV/f.u.
formation energy	58.8	kJ/mol of atoms

Lattice parameters (Å, degrees): 10.121 16.569 6.041 90.00 90.00 90.00
Space group Cmmm (No. 65)
Asymmetric unit:
Ac  0.000  0.000  0.000
Ac  0.000  0.260  0.500
Ac  0.185  0.379  0.000
Nd  0.000  0.201  0.000
Ho  0.000  0.500  0.500

***

Crystalline LiPrAsN2 at its relaxed geometry, computed with PBE.

density of states at the Fermi level	3.04	states/eV/f.u.
total DFT energy (no corrections)	-5.8759	eV per atom

Lattice parameters (Å, degrees): 5.876 4.113 6.285 90.00 102.02 90.00
Space group P2/c (No. 13)
Asymmetric unit:
Li  0.000  0.011  0.250
Pr  0.500  0.246  0.750
As  0.000  0.500  0.000
N  0.269  0.203  0.044

***

Crystalline CaGeRu2N at its relaxed geometry, computed with PBE.

density of states at the Fermi level	2.73	states/eV/f.u.
total DFT energy (no corrections)	-7.1769	eV per atom

Lattice parameters (Å, degrees): 3.818 11.293 7.343 90.00 90.00 90.00
Space group Cmcm (No. 63)
Asymmetric unit:
Ca  0.000  0.043  0.250
Ge  0.000  0.233  0.750
Ru  0.000  0.340  0.053
N  0.000  0.500  0.000

***

Crystalline KMn2HgRh at its relaxed geometry, computed with PBE.

density of states at the Fermi level	2.35	states/eV/f.u.
formation energy	66.4	kJ/mol of atoms

Lattice parameters (Å, degrees): 4.924 4.924 6.006 90.00 90.00 90.00
Space group P4/mmm (No. 123)
Asymmetric unit:
K  0.000  0.000  0.000
Mn  0.000  0.500  0.500
Hg  0.500  0.500  0.000
Rh  0.000  0.000  0.500

***

Crystalline PrNd2Cd2Pb2 at its relaxed geometry, computed with PBE.

density of states at the Fermi level	6.09	states/eV/f.u.
formation energy	-22.5	kJ/mol of atoms

Lattice parameters (Å, degrees): 5.1348 5.1348 27.4380 90.00 90.00 120.00
Space group R-3m (No. 166, hexagonal axes)
Asymmetric unit:
Pr  0.0000  0.0000  0.0000
Nd  0.0000  0.0000  0.1330
Cd  0.0000  0.0000  0.4265
Pb  0.0000  0.0000  0.2704

***

Crystalline FePd8Au3 at its relaxed geometry, computed with PBE.

density of states at the Fermi level	11.66	states/eV/f.u.
formation energy	-6.6	kJ/mol of atoms

Lattice parameters (Å, degrees): 4.870 4.879 8.448 90.07 106.40 99.22
Space group P-1 (No. 2)
Asymmetric unit:
Fe  0.000  0.000  0.000
Pd  0.004  0.002  0.675
Pd  0.004  0.497  0.840
Pd  0.497  0.756  0.081
Pd  0.500  0.247  0.584
Au  0.000  0.500  0.500
Au  0.491  0.250  0.245

***

Crystalline HgPOs2 at its relaxed geometry, computed with PBE.

density of states at the Fermi level	2.74	states/eV/f.u.
energy above the lowest structure with this stoichiometry	97	meV/atom
formation energy	37.4	kJ/mol of atoms

Lattice parameters (Å, degrees): 2.847 2.847 8.373 90.00 90.00 90.00
Space group P4mm (No. 99)
Asymmetric unit:
Hg  0.000  0.000  0.000
P  0.500  0.500  0.651
Os  0.000  0.000  0.476
Os  0.500  0.500  0.259

***

Total moment (computed, μB per formula unit): 0.00; 0.00; 0.00; 0.00; 0.00; 0.00; 0.00; 0.00; 0.00; 0.00; 0.00; 0.00; 0.00; 0.00; 0.00; 0.00; 9.61; 0.00; 5.16; 0.00